## NpPaBiO6 (PBE)

Data for crystalline NpPaBiO6 at its relaxed geometry.

a = 5.9629 Å, b = 5.9629 Å, c = 9.4515 Å
α = 90.00°, β = 90.00°, γ = 120.00°
With the nearest neighbours (Å) after each atom.
Element x y z (fractional)
O  0.3469  0.3507  0.3636  1 Pa 2.20, 1 Np 2.24, 1 Bi 2.45
O  0.6493  0.9962  0.3636  1 Pa 2.20, 1 Np 2.24, 1 Bi 2.45
O  0.6493  0.6531  0.1364  1 Pa 2.20, 1 Np 2.24, 1 Bi 2.45
O  0.6531  0.0038  0.8636  1 Pa 2.20, 1 Np 2.24, 1 Bi 2.45
Pa  0.6667  0.3333  0.7500  6 O 2.20
Bi  0.0000  0.0000  0.5000  6 O 2.45
O  0.3469  0.9962  0.1364  1 Pa 2.20, 1 Np 2.24, 1 Bi 2.45
O  0.0038  0.3507  0.1364  1 Pa 2.20, 1 Np 2.24, 1 Bi 2.45
Np  0.3333  0.6667  0.7500  6 O 2.24
O  0.3507  0.3469  0.8636  1 Pa 2.20, 1 Np 2.24, 1 Bi 2.45
O  0.9962  0.3469  0.6364  1 Pa 2.20, 1 Np 2.24, 1 Bi 2.45
Bi  0.0000  0.0000  0.0000  6 O 2.45
O  0.6531  0.6493  0.6364  1 Pa 2.20, 1 Np 2.24, 1 Bi 2.45
O  0.9962  0.6493  0.8636  1 Pa 2.20, 1 Np 2.24, 1 Bi 2.45
O  0.0038  0.6531  0.3636  1 Pa 2.20, 1 Np 2.24, 1 Bi 2.45
O  0.3507  0.0038  0.6364  1 Pa 2.20, 1 Np 2.24, 1 Bi 2.45
Pa  0.3333  0.6667  0.2500  6 O 2.20
Np  0.6667  0.3333  0.2500  6 O 2.24

Output
ΔE_f (raw)   -23.655 eV/f.u.
Raw total energy   -79.7 eV per formula unit



## NpBi2PbO8 (PBE)

Data for crystalline NpBi2PbO8 at its relaxed geometry.

a = 5.2238 Å, b = 5.2238 Å, c = 7.2795 Å
α = 90.00°, β = 90.00°, γ = 89.97°
With the nearest neighbours (Å) after each atom.
Element x y z (fractional)
O  0.1843  0.8150  0.2095  1 Np 2.05
Pb  0.0000  0.0000  0.5000  6 O 2.35-2.52
O  0.8157  0.1850  0.7905  1 Np 2.05
Bi  0.5000  0.5000  0.7472  6 O 2.24-2.48
Bi  0.5000  0.5000  0.2528  6 O 2.24-2.48
O  0.1843  0.8151  0.7905  1 Np 2.05
O  0.8157  0.1849  0.2095  1 Np 2.05
O  0.2746  0.2739  0.0000  1 Np 2.03
O  0.3189  0.3182  0.5000  2 Bi 2.24, 1 Pb 2.35
O  0.6811  0.6818  0.5000  2 Bi 2.24, 1 Pb 2.35
O  0.7254  0.7261  0.0000  1 Np 2.03
Np  0.0000  0.0000  0.0000  6 O 2.03-2.05

Output
ΔE_f (raw)   -19.557 eV/f.u.
Raw total energy   -83.6 eV per formula unit



## NpBiPbO (PBE)

Data for crystalline NpBiPbO at its relaxed geometry.

a = 3.3203 Å, b = 3.3203 Å, c = 9.2222 Å
α = 100.37°, β = 100.37°, γ = 90.00°
With the nearest neighbours (Å) after each atom.
Element x y z (fractional)
O  0.1394  0.1394  0.2788  4 Np 2.38
Pb  0.2967  0.2967  0.5935  1 O 2.81
Bi  0.9592  0.9592  0.9184  1 O 3.21, 4 Bi 3.32
Np  0.6168  0.6168  0.2335  4 O 2.38

Output
ΔE_f (raw)   -3.679 eV/f.u.
Raw total energy   -29.2 eV per formula unit



## NpBiPb2O6 (PBE)

Data for crystalline NpBiPb2O6 at its relaxed geometry.

a = 4.5049 Å, b = 6.2390 Å, c = 6.2390 Å
α = 90.00°, β = 90.00°, γ = 90.00°
With the nearest neighbours (Å) after each atom.
Element x y z (fractional)
O  0.1656  0.0000  0.0000  2 Np 2.22-2.28
O  0.7073  0.2371  0.2371  1 Np 2.10, 1 Bi 2.35
O  0.7073  0.2371  0.7629  1 Np 2.10, 1 Bi 2.35
O  0.1231  0.5000  0.5000  2 Bi 2.23-2.28
Pb  0.0262  0.5000  0.0000  4 O 2.63
Bi  0.6173  0.5000  0.5000  6 O 2.23-2.35
O  0.7073  0.7629  0.2371  1 Np 2.10, 1 Bi 2.35
Np  0.6590  0.0000  0.0000  6 O 2.10-2.28
Pb  0.0262  0.0000  0.5000  4 O 2.63
O  0.7073  0.7629  0.7629  1 Np 2.10, 1 Bi 2.35

Output
ΔE_f (raw)   -16.629 eV/f.u.
Raw total energy   -70.6 eV per formula unit